No. 1
DFT (PBE-GGA) results for La2HfSe5 after structural relaxation.

The space group is Pnma (No. 62) and the conventional cell measures 12.0129, 8.5825 and 7.7608 Å, with angles of 90.00, 90.00 and 90.00 degrees. Symmetry generates all atoms from La at (0.1719, 0.9996, 0.0590), Hf at (0.0094, 0.2500, 0.5741), Se at (0.0060, 0.2500, 0.9417), Se at (0.0725, 0.5360, 0.6776), Se at (0.1912, 0.2500, 0.3598) and Se at (0.2082, 0.7500, 0.3418).

The excess energy over the best structure of this formula in the dataset is 0.00 eV per formula unit. As for the crystal system: orthorhombic. The calculated total energy comes out at -6.4425 eV per atom. The value obtained for the spin magnetization is 0.00 μB per formula unit. The uncorrected formation energy is -1.7887 eV per atom.



No. 2
DFT (PBE-GGA) results for CaEuAgPd after structural relaxation.

The space group is F-43m (No. 216) and the conventional cell measures 7.3439, 7.3439 and 7.3439 Å, with angles of 90.00, 90.00 and 90.00 degrees. Symmetry generates all atoms from Ca at (0.0000, 0.0000, 0.0000), Eu at (0.0000, 0.0000, 0.5000), Ag at (0.2500, 0.2500, 0.2500) and Pd at (0.2500, 0.2500, 0.7500).

As for the crystal system: cubic. The calculated total energy comes out at -5.5518 eV per atom. The value obtained for the spin magnetization is 7.40 μB per formula unit. The density of states at the Fermi level comes out at 2.639 states/eV per atom. The formation energy is -0.4718 eV/atom.



No. 3
DFT (PBE-GGA) results for HoBi2O6 after structural relaxation.

The space group is Pmn2_1 (No. 31) and the conventional cell measures 8.2507, 6.0761 and 5.6462 Å, with angles of 90.00, 90.00 and 90.00 degrees. Symmetry generates all atoms from Ho at (0.0000, 0.1682, 0.0000), Bi at (0.2476, 0.7336, 0.9744), O at (0.0000, 0.2774, 0.6210), O at (0.0000, 0.8092, 0.8735), O at (0.1808, 0.4251, 0.1402) and O at (0.1903, 0.9885, 0.2374).

As for the crystal system: orthorhombic. The calculated total energy comes out at -6.2286 eV per atom. The value obtained for the spin magnetization is 0.00 μB per formula unit. The density of states at the Fermi level comes out at 0.175 states/eV per atom. The uncorrected formation energy is -1.5520 eV per atom.



No. 4
DFT (PBE-GGA) results for SiAg2Pt after structural relaxation.

The space group is I-4m2 (No. 119) and the conventional cell measures 4.3107, 4.3107 and 6.9694 Å, with angles of 90.00, 90.00 and 90.00 degrees. Symmetry generates all atoms from Si at (0.0000, 0.0000, 0.0000), Ag at (0.0000, 0.0000, 0.5000), Ag at (0.0000, 0.5000, 0.7500) and Pt at (0.0000, 0.5000, 0.2500).

As for the crystal system: tetragonal. The calculated total energy comes out at -4.2514 eV per atom. The value obtained for the spin magnetization is 0.00 μB per formula unit. The density of states at the Fermi level comes out at 0.442 states/eV per atom. The uncorrected formation energy is 0.0402 eV per atom.